Run one
A geometry-optimized TmCoTc structure. Source: Alexandria, functional PBE.

Cell lengths 13.299, 13.299, 13.299 Å; angles 22.40, 22.40, 22.40 degrees
Sites, in units of the cell vectors:
Tm 0.039 0.039 0.039
Tm 0.181 0.181 0.181
Tm 0.268 0.268 0.268
Tm 0.732 0.732 0.732
Tm 0.819 0.819 0.819
Tm 0.961 0.961 0.961
Co 0.000 0.500 0.500
Co 0.384 0.384 0.384
Co 0.500 0.000 0.500
Co 0.500 0.500 0.000
Co 0.500 0.500 0.500
Co 0.616 0.616 0.616
Tc 0.223 0.725 0.725
Tc 0.275 0.275 0.777
Tc 0.275 0.777 0.275
Tc 0.725 0.223 0.725
Tc 0.725 0.725 0.223
Tc 0.777 0.275 0.275

Crystal system = trigonal

Run two
A geometry-optimized TmCoTc structure. Source: Alexandria, functional PBE.

Cell lengths 5.240, 5.240, 5.240 Å; angles 123.38, 118.82, 88.15 degrees
Sites, in units of the cell vectors:
Tm 0.371 0.121 0.250
Tm 0.629 0.879 0.750
Co 0.000 0.500 0.500
Co 0.500 0.500 0.000
Tc 0.000 0.000 0.500
Tc 0.000 0.500 0.000

Crystal system = orthorhombic

Which structure is the most stable? The one labeled run one.